BeBOs2: relaxed, GGA-PBE.

VASP energy ... -0.5487 Ry/atom

CIF file:
```
data_BeBOs2
_chemical_formula_sum 'Be4 B4 Os8'
_symmetry_space_group_name_H-M 'F -4 3 m'
_symmetry_Int_Tables_number 216
_symmetry_space_group_name_Hall 'F -4 2 3'
_cell_length_a 5.723
_cell_length_b 5.723
_cell_length_c 5.723
_cell_angle_alpha 90.00
_cell_angle_beta 90.00
_cell_angle_gamma 90.00
loop_
_atom_site_label
_atom_site_type_symbol
_atom_site_fract_x
_atom_site_fract_y
_atom_site_fract_z
Be1 Be 0.000 0.000 0.000
B1 B 0.250 0.250 0.750
Os1 Os 0.000 0.000 0.500
Os2 Os 0.250 0.250 0.250
```